1.
The following is a DFT calculation (PBE-GGA) of a geometry-optimized HoCuTePbSe2 structure.

```
HoCuTePbSe2
1.0
2.046 -7.013 0.000
2.046 7.013 0.000
0.000 0.000 11.060
Ho Cu Te Pb Se
2 2 2 2 4
direct
0.000 0.000 0.000 Ho
0.000 0.000 0.500 Ho
0.468 0.532 0.750 Cu
0.532 0.468 0.250 Cu
0.091 0.909 0.750 Te
0.909 0.091 0.250 Te
0.219 0.781 0.250 Pb
0.781 0.219 0.750 Pb
0.367 0.633 0.567 Se
0.367 0.633 0.933 Se
0.633 0.367 0.067 Se
0.633 0.367 0.433 Se
```

Properties
- uncorrected energy (eV/atom) = -4.590
- SG = Cmcm, No. 63

---

2.
The following is a DFT calculation (PBE-GGA) of a geometry-optimized Nb2AgO2 structure.

```
Nb2AgO2
1.0
-3.312 3.699 2.671
3.312 -3.699 2.671
3.312 3.699 -2.671
Nb Ag O
4 2 4
direct
0.192 0.160 0.351 Nb
0.308 0.660 0.968 Nb
0.692 0.340 0.032 Nb
0.808 0.840 0.649 Nb
0.265 0.765 0.500 Ag
0.765 0.265 0.500 Ag
0.010 0.250 0.036 O
0.214 0.974 0.964 O
0.510 0.474 0.760 O
0.714 0.750 0.240 O
```

Properties
- uncorrected energy (eV/atom) = -7.652
- SG = Iba2, No. 45

---

3.
The following is a DFT calculation (PBE-GGA) of a geometry-optimized TaAsOs2 structure.

```
TaAsOs2
1.0
0.000 3.152 3.152
3.152 0.000 3.152
3.152 3.152 0.000
Ta As Os
1 1 2
direct
0.000 0.000 0.000 Ta
0.750 0.750 0.750 As
0.250 0.250 0.250 Os
0.500 0.500 0.500 Os
```

Properties
- uncorrected energy (eV/atom) = -9.353
- SG = F-43m, No. 216